(1)
Below is ScPaSb2 after structural relaxation, with properties calculated at the PBE level.

## Properties
D(E_F) in states/eV/cell: 11.00

```
8
Lattice="-3.0402 3.0402 6.0222 3.0402 -3.0402 6.0222 3.0402 3.0402 -6.0222" Properties=species:S:1:pos:R:3 pbc="T T T"
Sc 3.0402 1.5201 1.5055
Sc 0.0000 1.5201 4.5166
Pa 3.0402 -1.5201 4.5166
Pa 0.0000 4.5602 1.5055
Sb 3.0402 1.5201 -1.4357
Sb 0.0000 1.5201 1.5754
Sb 3.0402 1.5201 4.4468
Sb 0.0000 1.5201 7.4579
```

(2)
Below is ScPaSb2 after structural relaxation, with properties calculated at the PBE level.

## Properties
D(E_F) in states/eV/cell: 5.41

```
4
Lattice="5.1164 0.0000 0.0000 0.0000 5.1164 0.0000 0.0000 0.0000 3.7778" Properties=species:S:1:pos:R:3 pbc="T T T"
Sc 0.0000 0.0000 0.0000
Pa 2.5582 2.5582 0.0000
Sb 0.0000 2.5582 1.8889
Sb 2.5582 0.0000 1.8889
```

(3)
Below is ScPaSb2 after structural relaxation, with properties calculated at the PBE level.

## Properties
D(E_F) in states/eV/cell: 6.00

```
4
Lattice="2.0698 1.1950 7.4760 -2.0698 1.1950 7.4760 0.0000 -2.3900 7.4760" Properties=species:S:1:pos:R:3 pbc="T T T"
Sc 0.0000 0.0000 0.0000
Pa 0.0000 0.0000 3.8129
Sb 0.0000 0.0000 9.2463
Sb 0.0000 0.0000 13.2836
```

Referenced to the most stable arrangement, the calculated values in kJ/mol of atoms are (1) 0.0; (2) 9.2; (3) 3.6.

(1)
Below is Pa2SiSb after structural relaxation, with properties calculated at the PBE level.

## Properties
D(E_F) in states/eV/cell: 5.46

```
4
Lattice="2.0858 1.2042 7.0290 -2.0858 1.2042 7.0290 0.0000 -2.4085 7.0290" Properties=species:S:1:pos:R:3 pbc="T T T"
Pa 0.0000 0.0000 5.0559
Pa 0.0000 0.0000 16.0312
Si 0.0000 0.0000 10.5435
Sb 0.0000 0.0000 0.0000
```

(2)
Below is Pa2SiSb after structural relaxation, with properties calculated at the PBE level.

## Properties
D(E_F) in states/eV/cell: 6.18

```
4
Lattice="3.5695 0.0000 0.0000 0.0000 3.5695 0.0000 0.0000 0.0000 7.3119" Properties=species:S:1:pos:R:3 pbc="T T T"
Pa 0.0000 0.0000 1.6730
Pa 0.0000 0.0000 5.6389
Si 1.7847 1.7847 0.0000
Sb 1.7847 1.7847 3.6560
```

Referenced to the most stable arrangement, the calculated values in kJ/mol of atoms are (1) 0.0; (2) 9.8.

(1)
Below is SmPaSb2 after structural relaxation, with properties calculated at the PBE level.

## Properties
D(E_F) in states/eV/cell: 4.73

```
4
Lattice="0.0000 3.7877 3.7877 3.7877 0.0000 3.7877 3.7877 3.7877 0.0000" Properties=species:S:1:pos:R:3 pbc="T T T"
Sm 0.0000 0.0000 0.0000
Pa 3.7877 3.7877 3.7877
Sb 1.8939 1.8939 1.8939
Sb 5.6816 5.6816 5.6816
```

(2)
Below is SmPaSb2 after structural relaxation, with properties calculated at the PBE level.

## Properties
D(E_F) in states/eV/cell: 4.77

```
4
Lattice="3.7862 0.0000 0.0000 0.0000 3.7862 0.0000 0.0000 0.0000 7.5816" Properties=species:S:1:pos:R:3 pbc="T T T"
Sm 0.0000 0.0000 0.0000
Pa 0.0000 0.0000 3.7908
Sb 1.8931 1.8931 1.9860
Sb 1.8931 1.8931 5.5956
```

Referenced to the most stable arrangement, the calculated values in kJ/mol of atoms are (1) 2.2; (2) 0.0.

(1)
Below is SmPaSb2 after structural relaxation, with properties calculated at the PBE level.

## Properties
D(E_F) in states/eV/cell: 23.62

```
16
Lattice="4.4211 -8.8216 0.0000 4.4211 8.8216 0.0000 -4.3953 0.0000 6.2494" Properties=species:S:1:pos:R:3 pbc="T T T"
Sm 1.1246 7.7461 4.6870
Sm 3.3222 5.5399 1.5623
Sm 1.1246 -5.5399 4.6870
Sm 3.3222 -7.7461 1.5623
Pa 1.1246 3.3350 4.6870
Pa 3.3222 1.1301 1.5623
Pa 1.1246 -1.1301 4.6870
Pa 3.3222 -3.3350 1.5623
Sb 1.1103 3.3087 1.5904
Sb -1.0338 1.1033 4.7158
Sb 1.1638 -1.1033 1.5911
Sb -1.0874 -3.3087 4.7151
Sb 5.5342 3.3087 1.5343
Sb 3.2830 1.1033 4.6583
Sb 5.4807 -1.1033 1.5336
Sb 3.3365 -3.3087 4.6590
```

(2)
Below is SmPaSb2 after structural relaxation, with properties calculated at the PBE level.

## Properties
D(E_F) in states/eV/cell: 5.82

```
4
Lattice="2.1663 1.2507 7.5997 -2.1663 1.2507 7.5997 0.0000 -2.5014 7.5997" Properties=species:S:1:pos:R:3 pbc="T T T"
Sm 0.0000 0.0000 0.0000
Pa 0.0000 0.0000 3.9599
Sb 0.0000 0.0000 13.3297
Sb 0.0000 0.0000 17.2640
```

Referenced to the most stable arrangement, the calculated values in kJ/mol of atoms are (1) 0.0; (2) 9.4.